[1]
# MnNi2Os, single point on PBEsol structure, DFT meta-GGA SCAN
data_MnNi2Os
_cell_length_a 3.011
_cell_length_b 3.011
_cell_length_c 5.171
_cell_angle_alpha 90.00
_cell_angle_beta 90.00
_cell_angle_gamma 90.00
_symmetry_space_group_name_H-M 'P 4/m m m'
_symmetry_Int_Tables_number 123
_symmetry_space_group_name_Hall '-P 4 2'
loop_
_atom_site_label
_atom_site_type_symbol
_atom_site_fract_x
_atom_site_fract_y
_atom_site_fract_z
Mn1 Mn 0.000 0.000 0.000
Ni1 Ni 0.500 0.500 0.239
Os1 Os 0.000 0.000 0.500
# DOS at the Fermi energy: 3.3 states/eV per cell
# Volume: 47 Å³/f.u.
# Total magnetization: 3.39 μB/f.u.
# E_tot: -122.118 eV per formula unit

[2]
# MnNi2Os, single point on PBEsol structure, DFT meta-GGA SCAN
data_MnNi2Os
_cell_length_a 3.583
_cell_length_b 3.583
_cell_length_c 7.097
_cell_angle_alpha 90.00
_cell_angle_beta 90.00
_cell_angle_gamma 90.00
_symmetry_space_group_name_H-M 'I -4 m 2'
_symmetry_Int_Tables_number 119
_symmetry_space_group_name_Hall 'I -4 -2'
loop_
_atom_site_label
_atom_site_type_symbol
_atom_site_fract_x
_atom_site_fract_y
_atom_site_fract_z
Mn1 Mn 0.000 0.000 0.000
Ni1 Ni 0.000 0.000 0.500
Ni2 Ni 0.000 0.500 0.750
Os1 Os 0.000 0.500 0.250
# DOS at the Fermi energy: 5.6 states/eV per cell
# Volume: 46 Å³/f.u.
# Total magnetization: 1.36 μB/f.u.
# E_tot: -122.566 eV per formula unit

[3]
# MnNiOs2, single point on PBEsol structure, DFT meta-GGA SCAN
data_MnNiOs2
_cell_length_a 2.757
_cell_length_b 4.441
_cell_length_c 8.545
_cell_angle_alpha 90.00
_cell_angle_beta 90.00
_cell_angle_gamma 90.00
_symmetry_space_group_name_H-M 'C m m 2'
_symmetry_Int_Tables_number 35
loop_
_symmetry_equiv_pos_as_xyz
'x,y,z'
'-x,-y,z'
'-x,y,z'
'x,-y,z'
'x+1/2,y+1/2,z'
'-x+1/2,-y+1/2,z'
'-x+1/2,y+1/2,z'
'x+1/2,-y+1/2,z'
loop_
_atom_site_label
_atom_site_type_symbol
_atom_site_fract_x
_atom_site_fract_y
_atom_site_fract_z
Mn1 Mn 0.000 0.000 0.000
Ni1 Ni 0.000 0.500 0.769
Os1 Os 0.000 0.000 0.519
Os2 Os 0.000 0.500 0.247
# DOS at the Fermi energy: 7.2 states/eV per cell
# Volume: 52 Å³/f.u.
# Total magnetization: 4.20 μB/f.u.
# E_tot: -176.848 eV per formula unit

[4]
# MnNi2Os, single point on PBEsol structure, DFT meta-GGA SCAN
data_MnNi2Os
_cell_length_a 2.5777
_cell_length_b 2.5777
_cell_length_c 24.5784
_cell_angle_alpha 90.00
_cell_angle_beta 90.00
_cell_angle_gamma 120.00
_symmetry_space_group_name_H-M 'R -3 m'
_symmetry_Int_Tables_number 166
_symmetry_space_group_name_Hall '-R 3 2"'
loop_
_atom_site_label
_atom_site_type_symbol
_atom_site_fract_x
_atom_site_fract_y
_atom_site_fract_z
Mn1 Mn 0.0000 0.0000 0.0000
Ni1 Ni 0.0000 0.0000 0.2521
Os1 Os 0.0000 0.0000 0.5000
# DOS at the Fermi energy: 11.2 states/eV per cell
# Volume: 47 Å³/f.u.
# Total magnetization: 4.73 μB/f.u.
# E_tot: -122.170 eV per formula unit